1.
Below is a relaxed structure of Rb2ScAu2, with properties calculated at the PBE level.

Lattice parameters (Å, degrees): 6.8248 6.8248 6.8248 127.71 127.71 77.10
Fractional positions:
Rb 0.1483 0.1483 0.0000
Rb 0.8517 0.8517 0.0000
Sc 0.5000 0.5000 0.0000
Au 0.2500 0.7500 0.5000
Au 0.7500 0.2500 0.5000

E   -2.432 eV per atom
DFT formation energy   0.5326 eV/atom
Energy relative to the lowest polymorph listed for this composition   0.6103 eV/atom
DOS at the Fermi energy   7.58 states/eV/f.u.
SG   I4/mmm (139)

=====

2.
Below is a relaxed structure of BaNiBr2, with properties calculated at the PBE level.

Lattice parameters (Å, degrees): 7.2810 7.2810 4.7257 96.60 96.60 35.93
Fractional positions:
Ba 0.0000 0.0000 0.0000
Ni 0.5000 0.5000 0.5000
Br 0.3518 0.3518 0.2519
Br 0.6482 0.6482 0.7481

Energy relative to the elements, uncorrected   -100.4 kJ per mole of atoms
E   -3.803 eV per atom
Energy relative to the lowest polymorph listed for this composition   0.0000 eV/atom
SG   C2/m (12)

=====

3.
Below is a relaxed structure of Li2Nd3AlPd9, with properties calculated at the PBE level.

Lattice parameters (Å, degrees): 6.6979 6.6979 7.1854 90.00 90.00 120.00
Fractional positions:
Li 0.3333 0.6667 0.1428
Li 0.6667 0.3333 0.8572
Nd 0.0000 0.0000 0.0000
Nd 0.3333 0.6667 0.6732
Nd 0.6667 0.3333 0.3268
Al 0.0000 0.0000 0.5000
Pd 0.0000 0.5000 0.0000
Pd 0.1778 0.3555 0.3346
Pd 0.1778 0.8222 0.3346
Pd 0.3555 0.1778 0.6654
Pd 0.5000 0.0000 0.0000
Pd 0.5000 0.5000 0.0000
Pd 0.6444 0.8222 0.3346
Pd 0.8222 0.1778 0.6654
Pd 0.8222 0.6444 0.6654

E   -5.097 eV per atom
DFT formation energy   -0.5231 eV/atom
DOS at the Fermi energy   5.52 states/eV/f.u.
SG   P-3m1 (164)

=====

4.
Below is a relaxed structure of DyTlGeO4, with properties calculated at the PBE level.

Lattice parameters (Å, degrees): 5.8701 5.9306 7.7052 90.00 107.50 90.00
Fractional positions:
Dy 0.1999 0.2500 0.0456
Dy 0.8001 0.7500 0.9544
Tl 0.3342 0.2500 0.5932
Tl 0.6658 0.7500 0.4068
Ge 0.2638 0.7500 0.8486
Ge 0.7362 0.2500 0.1514
O 0.0570 0.5238 0.8371
O 0.0570 0.9762 0.8371
O 0.4542 0.7500 0.7093
O 0.4780 0.7500 0.0688
O 0.5220 0.2500 0.9312
O 0.5458 0.2500 0.2907
O 0.9430 0.0238 0.1629
O 0.9430 0.4762 0.1629

Energy relative to the elements, uncorrected   -204.4 kJ per mole of atoms
E   -6.607 eV per atom
DOS at the Fermi energy   0.00 states/eV/f.u.
SG   P2_1/m (11)

=====

5.
Below is a relaxed structure of HoPaHg2O6, with properties calculated at the PBE level.

Lattice parameters (Å, degrees): 6.1809 6.1809 6.1809 56.54 56.54 56.54
Fractional positions:
Ho 0.0000 0.0000 0.0000
Pa 0.5000 0.5000 0.5000
Hg 0.2540 0.2540 0.2540
Hg 0.7460 0.7460 0.7460
O 0.1351 0.3745 0.7413
O 0.2587 0.8649 0.6255
O 0.3745 0.7413 0.1351
O 0.6255 0.2587 0.8649
O 0.7413 0.1351 0.3745
O 0.8649 0.6255 0.2587

Energy relative to the elements, uncorrected   -216.2 kJ per mole of atoms
E   -6.683 eV per atom
SG   R-3 (148)

=====

6.
Below is a relaxed structure of MgGa6Rh, with properties calculated at the PBE level.

Lattice parameters (Å, degrees): 5.3857 5.3857 5.3416 99.73 99.73 106.68
Fractional positions:
Mg 0.0000 0.0000 0.0000
Ga 0.0921 0.5739 0.2635
Ga 0.4126 0.4126 0.7296
Ga 0.4261 0.9079 0.7365
Ga 0.5739 0.0921 0.2635
Ga 0.5874 0.5874 0.2704
Ga 0.9079 0.4261 0.7365
Rh 0.0000 0.0000 0.5000

E   -3.585 eV per atom
DFT formation energy   -0.1968 eV/atom
DOS at the Fermi energy   2.04 states/eV/f.u.
SG   C2/m (12)